# Tb2Y3NpN6 (PBE-GGA, optimized geometry)
data_Tb2Y3NpN6
_chemical_formula_sum 'Tb4 Y6 Np2 N12'
_cell_length_a 6.010
_cell_length_b 10.416
_cell_length_c 6.003
_cell_angle_alpha 90.00
_cell_angle_beta 109.45
_cell_angle_gamma 90.00
_space_group_name_H-M_alt 'C 1 2/m 1'
_space_group_IT_number 12
loop_
_space_group_symop_operation_xyz
'x,y,z'
'-x,-y,-z'
'-x,y,-z'
'x,-y,z'
'x+1/2,y+1/2,z'
'-x+1/2,-y+1/2,-z'
'-x+1/2,y+1/2,-z'
'x+1/2,-y+1/2,z'
loop_
_atom_site_label
_atom_site_type_symbol
_atom_site_fract_x
_atom_site_fract_y
_atom_site_fract_z
_atom_site_occupancy
Tb1 Tb 0.000 0.167 0.000 1
Y1 Y 0.000 0.000 0.500 1
Y2 Y 0.000 0.332 0.500 1
Np1 Np 0.000 0.500 0.000 1
N1 N 0.236 0.500 0.761 1
N2 N 0.240 0.341 0.243 1
# Calculated total energy = -221.39 eV per cell
# DOS at the Fermi energy = 7.41 states/eV/f.u.
# ΔE_f (raw) = -1848 kJ/mol of formula units

# ScBe3Sn (PBE-GGA, optimized geometry)
data_ScBe3Sn
_chemical_formula_sum 'Sc1 Be3 Sn1'
_cell_length_a 4.526
_cell_length_b 4.526
_cell_length_c 4.526
_cell_angle_alpha 90.00
_cell_angle_beta 90.00
_cell_angle_gamma 90.00
_space_group_name_H-M_alt 'P m -3 m'
_space_group_IT_number 221
_space_group_name_Hall '-P 4 2 3'
loop_
_atom_site_label
_atom_site_type_symbol
_atom_site_fract_x
_atom_site_fract_y
_atom_site_fract_z
_atom_site_occupancy
Sc1 Sc 0.000 0.000 0.000 1
Be1 Be 0.000 0.500 0.500 1
Sn1 Sn 0.500 0.500 0.500 1
# Formation enthalpy at 0 K = 4.9 eV per formula unit
# Calculated total energy = -16.57 eV per cell
# DOS at the Fermi energy = 2.34 states/eV/f.u.
# Energy relative to the lowest polymorph listed for this composition = 0 meV per atom

# Nd3OsBr2 (PBE-GGA, optimized geometry)
data_Nd3OsBr2
_chemical_formula_sum 'Nd12 Os4 Br8'
_cell_length_a 8.139
_cell_length_b 12.754
_cell_length_c 7.189
_cell_angle_alpha 90.00
_cell_angle_beta 110.44
_cell_angle_gamma 90.00
_space_group_name_H-M_alt 'C 1 2/c 1'
_space_group_IT_number 15
loop_
_space_group_symop_operation_xyz
'x,y,z'
'-x,-y,-z'
'-x,y,-z+1/2'
'x,-y,z+1/2'
'x+1/2,y+1/2,z'
'-x+1/2,-y+1/2,-z'
'-x+1/2,y+1/2,-z+1/2'
'x+1/2,-y+1/2,z+1/2'
loop_
_atom_site_label
_atom_site_type_symbol
_atom_site_fract_x
_atom_site_fract_y
_atom_site_fract_z
_atom_site_occupancy
Nd1 Nd 0.191 0.070 0.002 1
Nd2 Nd 0.250 0.250 0.500 1
Os1 Os 0.000 0.097 0.250 1
Br1 Br 0.000 0.269 0.750 1
Br2 Br 0.000 0.425 0.250 1
# Calculated total energy = -135.74 eV per cell
# DOS at the Fermi energy = 4.26 states/eV/f.u.
# Energy relative to the lowest polymorph listed for this composition = 10 meV per atom
# ΔE_f (raw) = -488 kJ/mol of formula units

# Sr2As3Pd6 (PBE-GGA, optimized geometry)
data_Sr2As3Pd6
_chemical_formula_sum 'Sr2 As3 Pd6'
_cell_length_a 7.5552
_cell_length_b 7.5552
_cell_length_c 4.4349
_cell_angle_alpha 90.00
_cell_angle_beta 90.00
_cell_angle_gamma 120.00
_space_group_name_H-M_alt 'P -6 2 m'
_space_group_IT_number 189
_space_group_name_Hall 'P -6 -2'
loop_
_atom_site_label
_atom_site_type_symbol
_atom_site_fract_x
_atom_site_fract_y
_atom_site_fract_z
_atom_site_occupancy
Sr1 Sr 0.3333 0.6667 0.0000 1
As1 As 0.0000 0.6347 0.5000 1
Pd1 Pd 0.0000 0.2948 0.5000 1
Pd2 Pd 0.0000 0.7911 0.0000 1
# Formation enthalpy at 0 K = -7.7 eV per formula unit
# Calculated total energy = -56.17 eV per cell
# DOS at the Fermi energy = 3.98 states/eV/f.u.

Look up the calculated total energy of the third one. -135.74 eV per cell

The lowest DOS at the Fermi energy belongs to which entry? ScBe3Sn

Among the records above, which one has the lowest calculated total energy? Tb2Y3NpN6